No. 1
# Sm2Sn3Rh | the Alexandria database | PBE-GGA | optimized geometry
# **Formation energy from the elements**: -0.69 eV/atom
# **E_tot**: -5.494 eV per atom
data_Sm2Sn3Rh
_cell_length_a 11.1236
_cell_length_b 4.7315
_cell_length_c 7.3768
_cell_angle_alpha 90.00
_cell_angle_beta 129.48
_cell_angle_gamma 90.00
_space_group_name_H-M_alt 'C 1 m 1'
_space_group_IT_number 8
loop_
_space_group_symop_operation_xyz
'x,y,z'
'x,-y,z'
'x+1/2,y+1/2,z'
'x+1/2,-y+1/2,z'
loop_
_atom_site_label
_atom_site_type_symbol
_atom_site_fract_x
_atom_site_fract_y
_atom_site_fract_z
_atom_site_occupancy
Sm1 Sm 0.0000 0.0000 0.0000 1
Sm2 Sm 0.1168 0.0000 0.5997 1
Sn1 Sn 0.2287 0.5000 0.3931 1
Sn2 Sn 0.3762 0.0000 0.1821 1
Sn3 Sn 0.4462 0.0000 0.6696 1
Rh1 Rh 0.2434 0.5000 0.0380 1


No. 2
# SmSn2Rh4 | the Alexandria database | PBE-GGA | optimized geometry
# **Formation energy from the elements**: -0.51 eV/atom
# **E_tot**: -6.531 eV per atom
data_SmSn2Rh4
_cell_length_a 8.0051
_cell_length_b 8.0051
_cell_length_c 4.1372
_cell_angle_alpha 90.00
_cell_angle_beta 90.00
_cell_angle_gamma 90.00
_space_group_name_H-M_alt 'P 42/m n m'
_space_group_IT_number 136
_space_group_name_Hall '-P 4n 2n'
loop_
_atom_site_label
_atom_site_type_symbol
_atom_site_fract_x
_atom_site_fract_y
_atom_site_fract_z
_atom_site_occupancy
Sm1 Sm 0.0000 0.0000 0.0000 1
Sn1 Sn 0.2228 0.2228 0.5000 1
Rh1 Rh 0.0818 0.6480 0.5000 1


No. 3
# SmSn2Rh | the Alexandria database | PBE-GGA | optimized geometry
# **Formation energy from the elements**: -0.69 eV/atom
# **E_tot**: -5.709 eV per atom
data_SmSn2Rh
_cell_length_a 8.3369
_cell_length_b 7.3633
_cell_length_c 5.9450
_cell_angle_alpha 90.00
_cell_angle_beta 90.00
_cell_angle_gamma 90.00
_space_group_name_H-M_alt 'P n m a'
_space_group_IT_number 62
loop_
_space_group_symop_operation_xyz
'x,y,z'
'-x,-y,-z'
'-x+1/2,-y,z+1/2'
'x+1/2,y,-z+1/2'
'x+1/2,-y+1/2,-z+1/2'
'-x+1/2,y+1/2,z+1/2'
'-x,y+1/2,-z'
'x,-y+1/2,z'
loop_
_atom_site_label
_atom_site_type_symbol
_atom_site_fract_x
_atom_site_fract_y
_atom_site_fract_z
_atom_site_occupancy
Sm1 Sm 0.0320 0.2500 0.1107 1
Sn1 Sn 0.1870 0.0453 0.6175 1
Rh1 Rh 0.0830 0.7500 0.3695 1


No. 4
# SmSn2Rh3 | the Alexandria database | PBE-GGA | optimized geometry
# **Formation energy from the elements**: -0.65 eV/atom
# **E_tot**: -6.445 eV per atom
data_SmSn2Rh3
_cell_length_a 4.5974
_cell_length_b 4.5974
_cell_length_c 6.2789
_cell_angle_alpha 90.00
_cell_angle_beta 90.00
_cell_angle_gamma 120.00
_space_group_name_H-M_alt 'P -3 m 1'
_space_group_IT_number 164
_space_group_name_Hall '-P 3 2"'
loop_
_atom_site_label
_atom_site_type_symbol
_atom_site_fract_x
_atom_site_fract_y
_atom_site_fract_z
_atom_site_occupancy
Sm1 Sm 0.0000 0.0000 0.0000 1
Sn1 Sn 0.3333 0.6667 0.6868 1
Rh1 Rh 0.0000 0.0000 0.5000 1
Rh2 Rh 0.3333 0.6667 0.2596 1


No. 5
# SmSn4Rh5 | the Alexandria database | PBE-GGA | optimized geometry
# **Formation energy from the elements**: -0.36 eV/atom
# **E_tot**: -6.105 eV per atom
data_SmSn4Rh5
_cell_length_a 7.6632
_cell_length_b 9.3656
_cell_length_c 5.6512
_cell_angle_alpha 90.00
_cell_angle_beta 90.00
_cell_angle_gamma 90.00
_space_group_name_H-M_alt 'P m m n'
_space_group_IT_number 59
loop_
_space_group_symop_operation_xyz
'x,y,z'
'-x,-y,-z'
'-x+1/2,-y+1/2,z'
'x+1/2,y+1/2,-z'
'x+1/2,-y,-z'
'-x+1/2,y,z'
'-x,y+1/2,-z'
'x,-y+1/2,z'
loop_
_atom_site_label
_atom_site_type_symbol
_atom_site_fract_x
_atom_site_fract_y
_atom_site_fract_z
_atom_site_occupancy
Sm1 Sm 0.2500 0.2500 0.0010 1
Sn1 Sn 0.0312 0.2500 0.4882 1
Sn2 Sn 0.2500 0.5850 0.8651 1
Rh1 Rh 0.0533 0.5031 0.2557 1
Rh2 Rh 0.2500 0.7500 0.2439 1


No. 6
# SmSnRh4 | the Alexandria database | PBE-GGA | optimized geometry
# **Formation energy from the elements**: -0.32 eV/atom
# **Excess energy over the best structure of this formula in the dataset**: 0.149 eV per atom
# **E_tot**: -6.673 eV per atom
data_SmSnRh4
_cell_length_a 7.6389
_cell_length_b 4.1155
_cell_length_c 6.9877
_cell_angle_alpha 90.00
_cell_angle_beta 90.00
_cell_angle_gamma 90.00
_space_group_name_H-M_alt 'P m m a'
_space_group_IT_number 51
loop_
_space_group_symop_operation_xyz
'x,y,z'
'-x,-y,-z'
'-x+1/2,-y,z'
'x+1/2,y,-z'
'x+1/2,-y,-z'
'-x+1/2,y,z'
'-x,y,-z'
'x,-y,z'
loop_
_atom_site_label
_atom_site_type_symbol
_atom_site_fract_x
_atom_site_fract_y
_atom_site_fract_z
_atom_site_occupancy
Sm1 Sm 0.2500 0.0000 0.1772 1
Sn1 Sn 0.2500 0.0000 0.7466 1
Rh1 Rh 0.0000 0.0000 0.5000 1
Rh2 Rh 0.0353 0.5000 0.8021 1
Rh3 Rh 0.2500 0.5000 0.4627 1


No. 7
# SmSn2Rh3 | the Alexandria database | PBE-GGA | optimized geometry
# **Formation energy from the elements**: -0.60 eV/atom
# **E_tot**: -6.401 eV per atom
data_SmSn2Rh3
_cell_length_a 17.5412
_cell_length_b 4.2628
_cell_length_c 10.0652
_cell_angle_alpha 90.00
_cell_angle_beta 107.25
_cell_angle_gamma 90.00
_space_group_name_H-M_alt 'C 1 2/m 1'
_space_group_IT_number 12
loop_
_space_group_symop_operation_xyz
'x,y,z'
'-x,-y,-z'
'-x,y,-z'
'x,-y,z'
'x+1/2,y+1/2,z'
'-x+1/2,-y+1/2,-z'
'-x+1/2,y+1/2,-z'
'x+1/2,-y+1/2,z'
loop_
_atom_site_label
_atom_site_type_symbol
_atom_site_fract_x
_atom_site_fract_y
_atom_site_fract_z
_atom_site_occupancy
Sm1 Sm 0.0000 0.0000 0.0000 1
Sm2 Sm 0.1714 0.0000 0.7175 1
Sn1 Sn 0.0399 0.5000 0.7801 1
Sn2 Sn 0.1396 0.5000 0.4580 1
Sn3 Sn 0.1878 0.0000 0.1213 1
Rh1 Rh 0.0000 0.5000 0.5000 1
Rh2 Rh 0.0431 0.0000 0.3376 1
Rh3 Rh 0.1116 0.5000 0.1868 1
Rh4 Rh 0.1823 0.5000 0.9579 1
Rh5 Rh 0.2121 0.0000 0.3925 1


No. 8
# Sm12Sn6Rh | the Alexandria database | PBE-GGA | optimized geometry
# **Formation energy from the elements**: -0.44 eV/atom
# **E_tot**: -5.071 eV per atom
data_Sm12Sn6Rh
_cell_length_a 13.4171
_cell_length_b 13.4171
_cell_length_c 12.4938
_cell_angle_alpha 90.00
_cell_angle_beta 90.00
_cell_angle_gamma 120.00
_space_group_name_H-M_alt 'R -3'
_space_group_IT_number 148
_space_group_name_Hall '-R 3'
loop_
_atom_site_label
_atom_site_type_symbol
_atom_site_fract_x
_atom_site_fract_y
_atom_site_fract_z
_atom_site_occupancy
Sm1 Sm 0.0331 0.2010 0.3940 1
Sm2 Sm 0.0605 0.1978 0.8822 1
Sn1 Sn 0.0483 0.2813 0.6438 1
Rh1 Rh 0.0000 0.0000 0.0000 1


No. 9
# Sm2Sn4Rh3 | the Alexandria database | PBE-GGA | optimized geometry
# **Formation energy from the elements**: -0.65 eV/atom
# **E_tot**: -5.927 eV per atom
data_Sm2Sn4Rh3
_cell_length_a 5.7988
_cell_length_b 10.0201
_cell_length_c 13.4362
_cell_angle_alpha 90.00
_cell_angle_beta 90.00
_cell_angle_gamma 90.00
_space_group_name_H-M_alt 'F m m m'
_space_group_IT_number 69
_space_group_name_Hall '-F 2 2'
loop_
_atom_site_label
_atom_site_type_symbol
_atom_site_fract_x
_atom_site_fract_y
_atom_site_fract_z
_atom_site_occupancy
Sm1 Sm 0.0000 0.0000 0.1229 1
Sn1 Sn 0.0000 0.1642 0.3415 1
Rh1 Rh 0.0000 0.0000 0.5000 1
Rh2 Rh 0.2500 0.2500 0.0000 1


No. 10
# Sm5SnRh2 | the Alexandria database | PBE-GGA | optimized geometry
# **Formation energy from the elements**: -0.65 eV/atom
# **E_tot**: -5.935 eV per atom
data_Sm5SnRh2
_cell_length_a 7.9259
_cell_length_b 7.9259
_cell_length_c 13.6891
_cell_angle_alpha 90.00
_cell_angle_beta 90.00
_cell_angle_gamma 90.00
_space_group_name_H-M_alt 'I 4/m c m'
_space_group_IT_number 140
_space_group_name_Hall '-I 4 2c'
loop_
_atom_site_label
_atom_site_type_symbol
_atom_site_fract_x
_atom_site_fract_y
_atom_site_fract_z
_atom_site_occupancy
Sm1 Sm 0.0000 0.0000 0.0000 1
Sm2 Sm 0.1597 0.3403 0.1362 1
Sn1 Sn 0.0000 0.0000 0.2500 1
Rh1 Rh 0.1385 0.3615 0.5000 1


No. 11
# Sm2SnRh3 | the Alexandria database | PBE-GGA | optimized geometry
# **Formation energy from the elements**: -0.49 eV/atom
# **E_tot**: -6.404 eV per atom
data_Sm2SnRh3
_cell_length_a 4.6687
_cell_length_b 5.5071
_cell_length_c 10.0098
_cell_angle_alpha 90.00
_cell_angle_beta 90.00
_cell_angle_gamma 90.00
_space_group_name_H-M_alt 'I m m m'
_space_group_IT_number 71
_space_group_name_Hall '-I 2 2'
loop_
_atom_site_label
_atom_site_type_symbol
_atom_site_fract_x
_atom_site_fract_y
_atom_site_fract_z
_atom_site_occupancy
Sm1 Sm 0.0000 0.0000 0.1799 1
Sn1 Sn 0.0000 0.0000 0.5000 1
Rh1 Rh 0.0000 0.5000 0.1391 1
Rh2 Rh 0.0000 0.5000 0.5000 1


No. 12
# TbSmSnRh | the Alexandria database | PBE-GGA | optimized geometry
# **Formation energy from the elements**: -0.62 eV/atom
# **E_tot**: -5.793 eV per atom
data_TbSmSnRh
_cell_length_a 7.3070
_cell_length_b 7.3070
_cell_length_c 7.3070
_cell_angle_alpha 90.00
_cell_angle_beta 90.00
_cell_angle_gamma 90.00
_space_group_name_H-M_alt 'F -4 3 m'
_space_group_IT_number 216
_space_group_name_Hall 'F -4 2 3'
loop_
_atom_site_label
_atom_site_type_symbol
_atom_site_fract_x
_atom_site_fract_y
_atom_site_fract_z
_atom_site_occupancy
Tb1 Tb 0.0000 0.0000 0.0000 1
Sm1 Sm 0.0000 0.0000 0.5000 1
Sn1 Sn 0.2500 0.2500 0.2500 1
Rh1 Rh 0.2500 0.2500 0.7500 1